# 1
## CoMo2Cl (PBE)

Data for a relaxed CoMo2Cl crystal.

a b c (Å): 5.188 5.188 5.188
angles (deg): 148.59 129.28 60.88
Positions (direct):
Cl (0.497, 0.497, 0.000)
Mo (0.014, 0.014, 0.000)
Co (0.265, 0.765, 0.500)
Mo (0.725, 0.225, 0.500)

Calculated values
For the energy above the lowest structure with this stoichiometry, the calculation gives 250 meV per atom. As for the space group: Imm2, No. 44. For the uncorrected formation energy, the calculation gives 12.159 kcal/mol of atoms.



# 2
## Cu2SiBr (PBE)

Data for a relaxed Cu2SiBr crystal.

a b c (Å): 4.540 4.540 4.540
angles (deg): 60.00 60.00 60.00
Positions (direct):
Si (0.000, 0.000, 0.000)
Br (0.500, 0.500, 0.500)
Cu (0.250, 0.250, 0.250)
Cu (0.750, 0.750, 0.750)

Calculated values
For the energy above the lowest structure with this stoichiometry, the calculation gives 835 meV per atom. As for the space group: Fm-3m, No. 225. For the uncorrected formation energy, the calculation gives 17.529 kcal/mol of atoms.



# 3
## NdZn5Ni2Rh (PBE)

Data for a relaxed NdZn5Ni2Rh crystal.

a b c (Å): 4.638 4.638 6.967
angles (deg): 90.00 90.00 90.00
Positions (direct):
Ni (0.500, 0.500, 0.166)
Rh (0.000, 0.000, 0.000)
Zn (0.000, 0.500, 0.193)
Ni (0.500, 0.500, 0.834)
Zn (0.500, 0.000, 0.807)
Zn (0.500, 0.500, 0.500)
Zn (0.500, 0.000, 0.193)
Nd (0.000, 0.000, 0.500)
Zn (0.000, 0.500, 0.807)

Calculated values
As for the space group: P4/mmm, No. 123. The total energy comes out at -3.4769 eV per atom.



# 4
## RbIn12Ga6 (PBE)

Data for a relaxed RbIn12Ga6 crystal.

a b c (Å): 8.518 8.518 8.518
angles (deg): 107.09 107.09 107.09
Positions (direct):
In (0.500, 0.112, 0.888)
In (0.500, 0.888, 0.112)
In (0.112, 0.500, 0.888)
Ga (0.279, 0.753, 0.279)
In (0.821, 0.581, 0.581)
Rb (0.000, 0.000, 0.000)
Ga (0.753, 0.279, 0.279)
Ga (0.721, 0.721, 0.247)
In (0.581, 0.581, 0.821)
In (0.179, 0.419, 0.419)
Ga (0.721, 0.247, 0.721)
In (0.419, 0.179, 0.419)
In (0.581, 0.821, 0.581)
In (0.419, 0.419, 0.179)
Ga (0.279, 0.279, 0.753)
Ga (0.247, 0.721, 0.721)
In (0.888, 0.112, 0.500)
In (0.888, 0.500, 0.112)
In (0.112, 0.888, 0.500)

Calculated values
As for the space group: R-3m, No. 166. The total energy comes out at -2.7179 eV per atom.